# 1
{"formula": "SrTlRu", "functional": "PBE", "state": "relaxed", "cell": [[7.185, 0.000, 0.000], [0.000, 7.185, 0.000], [0.000, 0.000, 7.185]], "species": ["Sr", "Sr", "Sr", "Sr", "Tl", "Tl", "Tl", "Tl", "Ru", "Ru", "Ru", "Ru"], "frac_coords": [[0.000, 0.000, 0.000], [0.000, 0.500, 0.500], [0.500, 0.000, 0.500], [0.500, 0.500, 0.000], [0.250, 0.250, 0.250], [0.250, 0.750, 0.750], [0.750, 0.250, 0.750], [0.750, 0.750, 0.250], [0.250, 0.250, 0.750], [0.250, 0.750, 0.250], [0.750, 0.250, 0.250], [0.750, 0.750, 0.750]], "magnetic_moment_mub_per_cell": 4.76, "formation_enthalpy_0k_kj_per_mol_atoms": 107.6, "dos_at_fermi_per_ev_fu": 10.2}

---

# 2
{"formula": "SrTlRu2", "functional": "PBE", "state": "relaxed", "cell": [[3.090, 0.000, 0.000], [0.000, 4.798, 0.000], [-0.817, 0.000, 5.980]], "species": ["Sr", "Tl", "Ru", "Ru"], "frac_coords": [[0.000, 0.000, 0.000], [0.500, 0.000, 0.500], [0.283, 0.500, 0.677], [0.717, 0.500, 0.323]], "magnetic_moment_mub_per_cell": 0.77, "formation_enthalpy_0k_kj_per_mol_atoms": 67.9, "polymorph_energy_mev_per_atom": 395, "dos_at_fermi_per_ev_fu": 6.4}

---

# 3
{"formula": "SrTlRu2", "functional": "PBE", "state": "relaxed", "cell": [[6.648, 0.000, 0.000], [0.000, 6.656, 0.000], [0.000, 0.000, 3.621]], "species": ["Sr", "Sr", "Tl", "Tl", "Ru", "Ru", "Ru", "Ru"], "frac_coords": [[0.000, 0.000, 0.000], [0.500, 0.500, 0.000], [0.000, 0.500, 0.000], [0.500, 0.000, 0.000], [0.250, 0.250, 0.500], [0.250, 0.750, 0.500], [0.750, 0.250, 0.500], [0.750, 0.750, 0.500]], "magnetic_moment_mub_per_cell": 2.29, "formation_enthalpy_0k_kj_per_mol_atoms": 67.6, "polymorph_energy_mev_per_atom": 393, "dos_at_fermi_per_ev_fu": 6.1}

---

# 4
{"formula": "SrTlRu2", "functional": "PBE", "state": "relaxed", "cell": [[6.828, 0.000, 0.000], [0.000, 6.828, 0.000], [0.000, 0.000, 6.828]], "species": ["Sr", "Sr", "Sr", "Sr", "Tl", "Tl", "Tl", "Tl", "Ru", "Ru", "Ru", "Ru", "Ru", "Ru", "Ru", "Ru"], "frac_coords": [[0.000, 0.000, 0.000], [0.000, 0.500, 0.500], [0.500, 0.000, 0.500], [0.500, 0.500, 0.000], [0.000, 0.000, 0.500], [0.000, 0.500, 0.000], [0.500, 0.000, 0.000], [0.500, 0.500, 0.500], [0.250, 0.250, 0.250], [0.250, 0.250, 0.750], [0.250, 0.750, 0.250], [0.250, 0.750, 0.750], [0.750, 0.250, 0.250], [0.750, 0.250, 0.750], [0.750, 0.750, 0.250], [0.750, 0.750, 0.750]], "magnetic_moment_mub_per_cell": 0.01, "formation_enthalpy_0k_kj_per_mol_atoms": 68.6, "polymorph_energy_mev_per_atom": 403, "dos_at_fermi_per_ev_fu": 5.1}

---

# 5
{"formula": "SrTlRu2", "functional": "PBE", "state": "relaxed", "cell": [[3.591, 0.000, 0.000], [0.000, 3.591, 0.000], [0.000, 0.000, 6.794]], "species": ["Sr", "Tl", "Ru", "Ru"], "frac_coords": [[0.000, 0.000, 0.000], [0.000, 0.000, 0.500], [0.500, 0.500, 0.312], [0.500, 0.500, 0.688]], "magnetic_moment_mub_per_cell": 1.93, "formation_enthalpy_0k_kj_per_mol_atoms": 59.4, "polymorph_energy_mev_per_atom": 308, "dos_at_fermi_per_ev_fu": 2.4}

---

# 6
{"formula": "Sr2TlRu", "functional": "PBE", "state": "relaxed", "cell": [[3.730, 0.000, 0.000], [0.000, 3.730, 0.000], [0.000, 0.000, 8.194]], "species": ["Sr", "Sr", "Tl", "Ru"], "frac_coords": [[0.000, 0.000, 0.212], [0.000, 0.000, 0.788], [0.500, 0.500, 0.500], [0.500, 0.500, 0.000]], "magnetic_moment_mub_per_cell": 0.22, "formation_enthalpy_0k_kj_per_mol_atoms": 18.7, "dos_at_fermi_per_ev_fu": 5.7}

---

# 7
{"formula": "SrTlRu2", "functional": "PBE", "state": "relaxed", "cell": [[4.669, 0.000, 0.000], [-2.335, 4.044, 0.000], [0.000, 0.000, 16.543]], "species": ["Sr", "Sr", "Sr", "Tl", "Tl", "Tl", "Ru", "Ru", "Ru", "Ru", "Ru", "Ru"], "frac_coords": [[0.000, 0.000, 0.000], [0.333, 0.667, 0.667], [0.667, 0.333, 0.333], [0.000, 0.000, 0.500], [0.333, 0.667, 0.167], [0.667, 0.333, 0.833], [0.000, 0.000, 0.178], [0.000, 0.000, 0.822], [0.333, 0.667, 0.489], [0.333, 0.667, 0.844], [0.667, 0.333, 0.156], [0.667, 0.333, 0.511]], "magnetic_moment_mub_per_cell": 2.26, "formation_enthalpy_0k_kj_per_mol_atoms": 29.8, "polymorph_energy_mev_per_atom": 1, "dos_at_fermi_per_ev_fu": 3.5}

---

# 8
{"formula": "SrTlRu2", "functional": "PBE", "state": "relaxed", "cell": [[11.014, 0.000, 0.000], [0.000, 3.071, 0.000], [-1.922, 0.000, 4.865]], "species": ["Sr", "Sr", "Tl", "Tl", "Ru", "Ru", "Ru", "Ru"], "frac_coords": [[0.000, 0.000, 0.000], [0.500, 0.500, 0.000], [0.293, 0.500, 0.365], [0.793, 0.000, 0.365], [0.046, 0.500, 0.524], [0.230, 0.000, 0.830], [0.546, 0.000, 0.524], [0.730, 0.500, 0.830]], "magnetic_moment_mub_per_cell": 0.57, "formation_enthalpy_0k_kj_per_mol_atoms": 50.0, "polymorph_energy_mev_per_atom": 211, "dos_at_fermi_per_ev_fu": 5.2}

---

Repeat the eighth record exactly.
{"formula": "SrTlRu2", "functional": "PBE", "state": "relaxed", "cell": [[11.014, 0.000, 0.000], [0.000, 3.071, 0.000], [-1.922, 0.000, 4.865]], "species": ["Sr", "Sr", "Tl", "Tl", "Ru", "Ru", "Ru", "Ru"], "frac_coords": [[0.000, 0.000, 0.000], [0.500, 0.500, 0.000], [0.293, 0.500, 0.365], [0.793, 0.000, 0.365], [0.046, 0.500, 0.524], [0.230, 0.000, 0.830], [0.546, 0.000, 0.524], [0.730, 0.500, 0.830]], "magnetic_moment_mub_per_cell": 0.57, "formation_enthalpy_0k_kj_per_mol_atoms": 50.0, "polymorph_energy_mev_per_atom": 211, "dos_at_fermi_per_ev_fu": 5.2}